Density functional theory data (PBE+U) for a geometry-optimized TlCoIO2 structure.

```
TlCoIO2
1.0
4.182 0.000 0.000
0.000 4.182 0.000
0.000 0.000 5.659
Tl Co I O
1 1 1 2
direct
0.000 0.000 0.000
0.500 0.500 0.500
0.500 0.500 0.000
0.000 0.500 0.500
0.500 0.000 0.500
```

Computed properties:
calculated total energy: -3.755 eV per atom
total moment: 4.372 μB/f.u.
energy above the lowest structure with this stoichiometry: 0 meV per atom
space-group type: P4/mmm, No. 123